[1]
The following is a GGA-PBE calculation of a relaxed Cs3AgBr crystal, from Alexandria via LeMat-Bulk.

For the energy, the calculation gives -1.967 eV per atom. The value obtained for the density of states at the Fermi level is 1.045 states/eV per atom. The value obtained for the formation energy (no corrections) is -0.550 eV/atom. As for the mass density: 2.88 g/cm3.

It has space group Pm-3m (No. 221), with a = 6.966 Å, b = 6.966 Å, c = 6.966 Å, α = 90.00°, β = 90.00° and γ = 90.00°. The distinct sites, in fractional coordinates, are Cs at (0.000, 0.000, 0.500), Ag at (0.500, 0.500, 0.500) and Br at (0.000, 0.000, 0.000).

***

[2]
The following is a GGA-PBE calculation of a relaxed Cs2AgBr2 crystal, from Alexandria via LeMat-Bulk.

For the energy, the calculation gives -2.510 eV per atom. The value obtained for the density of states at the Fermi level is 1.149 states/eV per atom. The value obtained for the formation energy (no corrections) is -0.930 eV/atom. As for the mass density: 3.17 g/cm3.

It has space group I4/mmm (No. 139), with a = 7.197 Å, b = 7.197 Å, c = 10.777 Å, α = 90.00°, β = 90.00° and γ = 90.00°. The distinct sites, in fractional coordinates, are Cs at (0.000, 0.500, 0.250), Ag at (0.000, 0.000, 0.000) and Br at (0.000, 0.000, 0.261).

***

[3]
The following is a GGA-PBE calculation of a relaxed CsAg3Br4 crystal, from Alexandria via LeMat-Bulk.

For the energy, the calculation gives -2.648 eV per atom. The value obtained for the formation energy (no corrections) is -0.635 eV/atom. As for the mass density: 4.15 g/cm3.

It has space group Cmmm (No. 65), with a = 7.918 Å, b = 15.752 Å, c = 4.975 Å, α = 90.00°, β = 90.00° and γ = 90.00°. The distinct sites, in fractional coordinates, are Cs at (0.000, 0.000, 0.000), Ag at (0.000, 0.248, 0.500), Ag at (0.000, 0.500, 0.500) and Br at (0.244, 0.373, 0.500).